Material: CuS2Cl2
Method: DFT, GGA-PBE
State: relaxed Values from VASP.

Output
Total magnetization in Bohr magnetons per cell: 1.0
Formation energy without anion corrections in eV per atom: -0.11

```
&SYSTEM
  ibrav = 0, nat = 5, ntyp = 3
/
ATOMIC_SPECIES
Cl 35.45 Cl.upf
S 32.06 S.upf
Cu 63.55 Cu.upf
ATOMIC_POSITIONS angstrom
Cl -0.5555 4.2108 3.3898
Cl 1.3645 0.2511 5.7720
S 2.6929 1.6587 7.9950
S 2.8505 1.8257 2.2323
Cu 1.1213 -0.0072 7.8833
CELL_PARAMETERS angstrom
4.7309 -0.9750 1.0653
-1.2575 4.6638 1.0656
0.1758 0.1873 7.6703
```

Material: TiAsSN2
Method: DFT, GGA-PBE
State: relaxed Values from VASP.

Output
Total magnetization in Bohr magnetons per cell: 0.1
Energy relative to the lowest polymorph listed for this composition in meV/atom: 0
Formation energy without anion corrections in eV per atom: 0.44

```
&SYSTEM
  ibrav = 0, nat = 5, ntyp = 4
/
ATOMIC_SPECIES
N 14.01 N.upf
S 32.06 S.upf
Ti 47.87 Ti.upf
As 74.92 As.upf
ATOMIC_POSITIONS angstrom
N -0.8658 -0.3187 -1.6959
N 1.5551 -0.9664 -0.6122
S -0.9809 -2.1517 0.9051
Ti 0.0000 0.0000 0.0000
As -0.2915 -3.4369 -1.4030
CELL_PARAMETERS angstrom
-1.7315 -0.6375 -3.3918
3.1102 -1.9329 -1.2245
-1.9617 -4.3034 1.8102
```

Material: SrBeSiSb2
Method: DFT, GGA-PBE
State: relaxed Values from VASP.

Output
Total magnetization in Bohr magnetons per cell: 0.0
Formation energy without anion corrections in eV per atom: 0.35

```
&SYSTEM
  ibrav = 0, nat = 5, ntyp = 4
/
ATOMIC_SPECIES
Sb 121.76 Sb.upf
Be 9.01 Be.upf
Sr 87.62 Sr.upf
Si 28.09 Si.upf
ATOMIC_POSITIONS angstrom
Sb 0.0000 0.0000 2.4010
Sb 2.4010 0.0000 0.0000
Be 0.0000 0.0000 0.0000
Sr 0.0000 2.7719 0.0000
Si 2.4010 2.7719 2.4010
CELL_PARAMETERS angstrom
4.8020 0.0000 0.0000
0.0000 5.5438 0.0000
0.0000 0.0000 4.8020
```

Material: Mg2FePt
Method: DFT, GGA-PBE
State: relaxed Values from VASP.

Output
Total magnetization in Bohr magnetons per cell: 2.4
Calculated formation energy in eV per formula unit: -1.03

```
&SYSTEM
  ibrav = 0, nat = 4, ntyp = 3
/
ATOMIC_SPECIES
Mg 24.30 Mg.upf
Pt 195.08 Pt.upf
Fe 55.84 Fe.upf
ATOMIC_POSITIONS angstrom
Mg 0.0000 2.8984 2.8868
Mg 0.0000 2.8982 0.0372
Pt 1.8818 1.4487 1.4506
Fe 1.8818 4.3461 4.3517
CELL_PARAMETERS angstrom
3.7636 0.0000 0.0000
0.0000 2.8992 0.0229
0.0000 2.8956 5.7793
```

Material: TmZn2Ni6
Method: DFT, GGA-PBE
State: relaxed Values from VASP.

Output
Total magnetization in Bohr magnetons per cell: 0.9
Calculated formation energy in eV per formula unit: 0.02

```
&SYSTEM
  ibrav = 0, nat = 9, ntyp = 3
/
ATOMIC_SPECIES
Ni 58.69 Ni.upf
Tm 168.93 Tm.upf
Zn 65.41 Zn.upf
ATOMIC_POSITIONS angstrom
Ni 0.9865 -9.7130 3.0761
Ni 0.6944 -3.6315 2.0810
Ni 1.4687 -10.1204 0.4444
Ni 1.1767 -4.0389 -0.5506
Ni 2.7982 -5.6648 -0.2059
Ni 2.2452 -5.1976 2.8118
Tm 1.0816 -6.8759 1.2627
Zn 2.6591 -11.3572 2.2456
Zn -0.4960 -2.3947 0.2799
CELL_PARAMETERS angstrom
-2.8802 -2.8895 -0.0805
2.9969 -5.8327 -1.2903
2.0464 -5.0297 3.8962
```

Material: SrNiAs2
Method: DFT, GGA-PBE
State: relaxed Values from VASP.

Output
Total magnetization in Bohr magnetons per cell: 0.0
Calculated formation energy in eV per formula unit: -1.06

```
&SYSTEM
  ibrav = 0, nat = 4, ntyp = 3
/
ATOMIC_SPECIES
As 74.92 As.upf
Sr 87.62 Sr.upf
Ni 58.69 Ni.upf
ATOMIC_POSITIONS angstrom
As 0.0000 0.0000 2.9942
As 0.0000 0.0000 0.4548
Sr 1.1193 1.7035 5.1736
Ni 1.1193 1.7035 1.7245
CELL_PARAMETERS angstrom
3.7842 -0.0475 0.0000
-1.5456 3.4545 0.0000
0.0000 0.0000 6.8981
```

Material: CsPmTiSe4
Method: DFT, GGA-PBE
State: relaxed Values from VASP.

Output
Total magnetization in Bohr magnetons per cell: 0.0
Formation energy without anion corrections in eV per atom: -1.48

```
&SYSTEM
  ibrav = 0, nat = 14, ntyp = 4
/
ATOMIC_SPECIES
Se 78.96 Se.upf
Cs 132.91 Cs.upf
Pm 145.00 Pm.upf
Ti 47.87 Ti.upf
ATOMIC_POSITIONS angstrom
Se 3.5758 1.7023 3.2167
Se 1.8823 3.3334 6.4063
Se 6.9058 -2.8180 2.3729
Se 5.2123 -1.1869 5.5625
Se 1.8417 5.2536 3.5045
Se 1.4080 -0.7196 5.9251
Se 6.9464 -4.7382 5.2747
Se 7.3801 1.2350 2.8541
Cs 0.3184 0.4577 2.4387
Cs 8.4697 0.0577 6.3405
Pm 3.6653 0.9480 6.9969
Pm 5.1228 -0.4326 1.7823
Ti 5.6717 2.6004 3.7816
Ti 3.1164 -2.0850 4.9976
CELL_PARAMETERS angstrom
-1.1210 5.7232 3.8030
0.0835 -3.9395 5.9533
9.8256 -1.2683 -0.9771
```

> Number 3 is which compound?

SrBeSiSb2